Record 1
PdF4 | PBEsol | relaxed

Lattice parameters (Å, degrees): 5.4330 5.4998 5.4998 64.11 73.43 106.57
Positions (direct):
1 Pd 0.0000 0.2386 0.7614
2 Pd 0.5000 0.4886 0.0114
3 F 0.7220 0.4776 0.2120
4 F 0.2780 0.0660 0.2444
5 F 0.2188 0.5134 0.2997
6 F 0.7812 0.4815 0.7054
7 F 0.2812 0.5446 0.7685
8 F 0.7188 0.9503 0.7366
9 F 0.2220 0.0380 0.7724
10 F 0.7780 0.0056 0.1840

ΔE_f (raw), eV/atom: -1.194
Space-group type: Fdd2, No. 43

Record 2
NbZnW3 | PBEsol | relaxed

Lattice parameters (Å, degrees): 4.7248 4.7248 4.7248 90.00 90.00 90.00
Positions (direct):
1 Nb 0.0000 0.0000 0.0000
2 Zn 0.5000 0.5000 0.5000
3 W 0.0000 0.5000 0.0000
4 W 0.0000 0.0000 0.5000
5 W 0.5000 0.0000 0.0000

Distance to the lowest polymorph of the same formula, meV/atom: 621
Space-group type: Pm-3m, No. 221
Fermi-level density of states, states/eV/f.u.: 4.1

Record 3
ReSb2As | PBEsol | relaxed

Lattice parameters (Å, degrees): 3.2758 4.4411 6.3658 90.00 89.90 90.00
Positions (direct):
1 Re 0.2517 0.5000 0.3120
2 As 0.2526 0.0000 0.4874
3 Sb 0.2447 0.0000 0.0544
4 Sb 0.7510 0.5000 0.6462

ΔE_f (raw), eV/atom: 0.507
Space-group type: Pm, No. 6
Fermi-level density of states, states/eV/f.u.: 1.8

Record 4
MgSiTe2 | PBEsol | relaxed

Lattice parameters (Å, degrees): 3.8699 3.8699 9.0657 77.68 77.68 60.00
Positions (direct):
1 Si 0.5000 0.5000 0.5000
2 Te 0.8937 0.8937 0.3188
3 Te 0.1063 0.1063 0.6812
4 Mg 0.0000 0.0000 0.0000

ΔE_f (raw), eV/atom: 0.088
Distance to the lowest polymorph of the same formula, meV/atom: 60
Space-group type: R-3m, No. 166
Fermi-level density of states, states/eV/f.u.: 2.2

Record 5
MnBi2PBr | PBEsol | relaxed

Lattice parameters (Å, degrees): 4.4642 5.6719 5.6719 90.00 90.00 90.00
Site moments in Bohr magnetons follow the coordinates.
Positions (direct):
1 P 0.5000 0.5000 0.5000  0.01
2 Mn 0.5000 0.0000 0.0000  3.56
3 Bi 0.0000 0.0000 0.5000  -0.09
4 Bi 0.0000 0.5000 0.0000  -0.09
5 Br 0.0000 0.0000 0.0000  0.00

ΔE_f (raw), eV/atom: 1.188
Space-group type: P4/mmm, No. 123
Fermi-level density of states, states/eV/f.u.: 4.4

Record 6
SrCuAu | PBEsol | relaxed

Lattice parameters (Å, degrees): 4.0196 4.4384 4.4384 120.00 90.00 90.00
Positions (direct):
1 Sr 0.5000 0.6667 0.3333
2 Au 0.0000 0.0000 0.0000
3 Cu 0.0000 0.3333 0.6667

Space-group type: P-6m2, No. 187
Fermi-level density of states, states/eV/f.u.: 1.1

Record 7
GaSnI2N | PBEsol | relaxed

Lattice parameters (Å, degrees): 3.8762 6.0458 6.0458 90.00 90.00 90.00
Positions (direct):
1 I 0.0000 0.0000 0.5000
2 I 0.0000 0.5000 0.0000
3 Sn 0.0000 0.0000 0.0000
4 Ga 0.5000 0.5000 0.5000
5 N 0.5000 0.0000 0.0000

ΔE_f (raw), eV/atom: 0.366
Space-group type: P4/mmm, No. 123
Fermi-level density of states, states/eV/f.u.: 1.7

Record 8
Cd2NiRh | PBEsol | relaxed

Lattice parameters (Å, degrees): 2.8328 2.8328 9.1964 81.14 81.14 60.00
Site moments in Bohr magnetons follow the coordinates.
Positions (direct):
1 Cd 0.9934 0.9934 0.0199  0.00
2 Cd 0.7593 0.7593 0.7221  0.00
3 Ni 0.5054 0.5054 0.4838  0.52
4 Rh 0.2419 0.2419 0.2743  0.39

Space-group type: R3m, No. 160
Fermi-level density of states, states/eV/f.u.: 3.6

Record 9
MnRu2 | PBEsol | relaxed

Lattice parameters (Å, degrees): 3.6893 3.6893 11.4637 99.26 99.26 90.00
Site moments in Bohr magnetons follow the coordinates.
Positions (direct):
1 Mn 0.3317 0.8317 0.6634  1.88
2 Mn 0.1683 0.6683 0.3366  1.88
3 Mn 0.0817 0.0817 0.1634  1.88
4 Mn 0.9183 0.9183 0.8366  1.88
5 Ru 0.4988 0.9988 0.9976  -0.22
6 Ru 0.0012 0.5012 0.0024  -0.22
7 Ru 0.2488 0.2488 0.4976  -0.22
8 Ru 0.7512 0.7512 0.5024  -0.22
9 Ru 0.6656 0.1656 0.3311  -0.28
10 Ru 0.8344 0.3344 0.6689  -0.28
11 Ru 0.4156 0.4156 0.8311  -0.28
12 Ru 0.5844 0.5844 0.1689  -0.28

Space-group type: I4_1/amd, No. 141
Fermi-level density of states, states/eV/f.u.: 3.0

Record 10
NiSeO4 | PBEsol | relaxed

Lattice parameters (Å, degrees): 4.8867 4.8867 6.1952 90.00 90.00 112.82
Site moments in Bohr magnetons follow the coordinates.
Positions (direct):
1 Ni 0.0000 0.0000 0.0000  1.56
2 Ni 0.0000 0.0000 0.5000  1.56
3 Se 0.3497 0.6503 0.7500  0.03
4 Se 0.6503 0.3497 0.2500  0.03
5 O 0.2277 0.2693 0.7500  0.12
6 O 0.7723 0.7307 0.2500  0.12
7 O 0.2693 0.2277 0.2500  0.12
8 O 0.7307 0.7723 0.7500  0.12
9 O 0.2423 0.7577 0.9764  0.05
10 O 0.7577 0.2423 0.4764  0.05
11 O 0.7577 0.2423 0.0236  0.05
12 O 0.2423 0.7577 0.5236  0.05

ΔE_f (raw), eV/atom: -0.592
Space-group type: Cmcm, No. 63

Record 11
ReSiW2 | PBEsol | relaxed

Lattice parameters (Å, degrees): 2.7460 2.7460 8.2759 90.00 90.00 109.84
Positions (direct):
1 Re 0.0000 0.0000 0.4859
2 Si 0.5000 0.5000 0.2537
3 W 0.0000 0.0000 0.0134
4 W 0.5000 0.5000 0.7469

ΔE_f (raw), eV/atom: 0.114
Space-group type: Cmm2, No. 35
Fermi-level density of states, states/eV/f.u.: 3.1

Record 12
Li2OsBr | PBEsol | relaxed

Lattice parameters (Å, degrees): 2.8578 4.5979 4.7392 90.00 90.15 90.00
Positions (direct):
1 Br 0.3757 0.5000 0.7063
2 Li 0.8764 0.0000 0.0037
3 Li 0.8729 0.5000 0.2802
4 Os 0.3750 0.0000 0.5098

ΔE_f (raw), eV/atom: 0.305
Distance to the lowest polymorph of the same formula, meV/atom: 0
Space-group type: Pm, No. 6
Fermi-level density of states, states/eV/f.u.: 2.3

Record 13
K2NbAgS4 | PBEsol | relaxed

Lattice parameters (Å, degrees): 5.8174 7.1382 11.5885 84.13 75.46 65.95
Positions (direct):
1 K 0.9308 0.5000 0.1384
2 K 0.8192 0.0000 0.3616
3 K 0.5692 0.5000 0.8616
4 K 0.1808 0.0000 0.6384
5 Nb 0.7500 0.5000 0.5000
6 Nb 0.0000 0.0000 0.0000
7 Ag 0.2500 0.5000 0.5000
8 Ag 0.5000 0.0000 0.0000
9 S 0.1741 0.2101 0.8818
10 S 0.2661 0.7899 0.1182
11 S 0.6158 0.2101 0.1182
12 S 0.9440 0.7899 0.8818
13 S 0.5759 0.2899 0.6182
14 S 0.8060 0.7101 0.6182
15 S 0.1342 0.2899 0.3818
16 S 0.4839 0.7101 0.3818

ΔE_f (raw), eV/atom: -0.982
Space-group type: Fddd, No. 70
Fermi-level density of states, states/eV/f.u.: 0.0

Record 14
Ta2MnCu | PBEsol | relaxed

Lattice parameters (Å, degrees): 2.7493 2.7493 7.7604 90.00 90.00 90.00
Site moments in Bohr magnetons follow the coordinates.
Positions (direct):
1 Cu 0.5000 0.5000 0.0000  0.02
2 Mn 0.5000 0.5000 0.5000  2.24
3 Ta 0.0000 0.0000 0.7471  0.01
4 Ta 0.0000 0.0000 0.2529  0.01

Space-group type: P4/mmm, No. 123
Fermi-level density of states, states/eV/f.u.: 4.1

Taking the records one at a time from the top gives VASP energy values of -3.928 -8.308 -6.381 -3.541 -4.010 -3.773 -3.566 -4.021 -9.921 -5.759 -11.559 -4.200 -5.224 -9.631 eV per atom.